# 1
The following is a GGA-PBEsol calculation of an optimized crystal structure of ScCr2Re, from Alexandria via LeMat-Bulk.

Structure (CIF):
```
data_ScCr2Re
_chemical_formula_sum 'Sc2 Cr4 Re2'
_space_group_name_H-M_alt 'C 1 2/m 1'
_space_group_IT_number 12
_cell_length_a 5.2812
_cell_length_b 8.3652
_cell_length_c 2.6522
_cell_angle_alpha 90.00
_cell_angle_beta 109.46
_cell_angle_gamma 90.00
loop_
_space_group_symop_operation_xyz
'x,y,z'
'-x,-y,-z'
'-x,y,-z'
'x,-y,z'
'x+1/2,y+1/2,z'
'-x+1/2,-y+1/2,-z'
'-x+1/2,y+1/2,-z'
'x+1/2,-y+1/2,z'
loop_
_atom_site_label
_atom_site_type_symbol
_atom_site_fract_x
_atom_site_fract_y
_atom_site_fract_z
_atom_site_occupancy
Sc1 Sc 0.0000 0.0000 0.0000 1
Cr1 Cr 0.2500 0.2500 0.5000 1
Re1 Re 0.0000 0.5000 0.0000 1
```

# 2
The following is a GGA-PBEsol calculation of an optimized crystal structure of ScCr2Re, from Alexandria via LeMat-Bulk.

Structure (CIF):
```
data_ScCr2Re
_chemical_formula_sum 'Sc1 Cr2 Re1'
_space_group_name_H-M_alt 'P 4/m m m'
_space_group_IT_number 123
_space_group_name_Hall '-P 4 2'
_cell_length_a 2.9938
_cell_length_b 2.9938
_cell_length_c 6.3306
_cell_angle_alpha 90.00
_cell_angle_beta 90.00
_cell_angle_gamma 90.00
loop_
_atom_site_label
_atom_site_type_symbol
_atom_site_fract_x
_atom_site_fract_y
_atom_site_fract_z
_atom_site_occupancy
Sc1 Sc 0.0000 0.0000 0.0000 1
Cr1 Cr 0.5000 0.5000 0.2784 1
Re1 Re 0.0000 0.0000 0.5000 1
```

# 3
The following is a GGA-PBEsol calculation of an optimized crystal structure of ScCrRe3, from Alexandria via LeMat-Bulk.

Structure (CIF):
```
data_ScCrRe3
_chemical_formula_sum 'Sc1 Cr1 Re3'
_space_group_name_H-M_alt 'P m -3 m'
_space_group_IT_number 221
_space_group_name_Hall '-P 4 2 3'
_cell_length_a 4.4895
_cell_length_b 4.4895
_cell_length_c 4.4895
_cell_angle_alpha 90.00
_cell_angle_beta 90.00
_cell_angle_gamma 90.00
loop_
_atom_site_label
_atom_site_type_symbol
_atom_site_fract_x
_atom_site_fract_y
_atom_site_fract_z
_atom_site_occupancy
Sc1 Sc 0.0000 0.0000 0.0000 1
Cr1 Cr 0.5000 0.5000 0.5000 1
Re1 Re 0.0000 0.0000 0.5000 1
```

# 4
The following is a GGA-PBEsol calculation of an optimized crystal structure of ScCr4Re, from Alexandria via LeMat-Bulk.

Structure (CIF):
```
data_ScCr4Re
_chemical_formula_sum 'Sc4 Cr16 Re4'
_space_group_name_H-M_alt 'F -4 3 m'
_space_group_IT_number 216
_space_group_name_Hall 'F -4 2 3'
_cell_length_a 6.7903
_cell_length_b 6.7903
_cell_length_c 6.7903
_cell_angle_alpha 90.00
_cell_angle_beta 90.00
_cell_angle_gamma 90.00
loop_
_atom_site_label
_atom_site_type_symbol
_atom_site_fract_x
_atom_site_fract_y
_atom_site_fract_z
_atom_site_occupancy
Sc1 Sc 0.0000 0.0000 0.0000 1
Cr1 Cr 0.1244 0.1244 0.6244 1
Re1 Re 0.2500 0.2500 0.2500 1
```

# 5
The following is a GGA-PBEsol calculation of an optimized crystal structure of ScCrRe, from Alexandria via LeMat-Bulk.

Structure (CIF):
```
data_ScCrRe
_chemical_formula_sum 'Sc4 Cr4 Re4'
_space_group_name_H-M_alt 'F -4 3 m'
_space_group_IT_number 216
_space_group_name_Hall 'F -4 2 3'
_cell_length_a 5.8482
_cell_length_b 5.8482
_cell_length_c 5.8482
_cell_angle_alpha 90.00
_cell_angle_beta 90.00
_cell_angle_gamma 90.00
loop_
_atom_site_label
_atom_site_type_symbol
_atom_site_fract_x
_atom_site_fract_y
_atom_site_fract_z
_atom_site_occupancy
Sc1 Sc 0.0000 0.0000 0.0000 1
Cr1 Cr 0.2500 0.2500 0.2500 1
Re1 Re 0.0000 0.0000 0.5000 1
```

# 6
The following is a GGA-PBEsol calculation of an optimized crystal structure of ScCrRe, from Alexandria via LeMat-Bulk.

Structure (CIF):
```
data_ScCrRe
_chemical_formula_sum 'Sc2 Cr2 Re2'
_space_group_name_H-M_alt 'I m m 2'
_space_group_IT_number 44
_cell_length_a 2.6137
_cell_length_b 4.5181
_cell_length_c 7.6657
_cell_angle_alpha 90.00
_cell_angle_beta 90.00
_cell_angle_gamma 90.00
loop_
_space_group_symop_operation_xyz
'x,y,z'
'-x,-y,z'
'-x,y,z'
'x,-y,z'
'x+1/2,y+1/2,z+1/2'
'-x+1/2,-y+1/2,z+1/2'
'-x+1/2,y+1/2,z+1/2'
'x+1/2,-y+1/2,z+1/2'
loop_
_atom_site_label
_atom_site_type_symbol
_atom_site_fract_x
_atom_site_fract_y
_atom_site_fract_z
_atom_site_occupancy
Sc1 Sc 0.0000 0.0000 0.0000 1
Cr1 Cr 0.0000 0.0000 0.6605 1
Re1 Re 0.0000 0.0000 0.3416 1
```

Result set for magnetization: 0.00, 0.02, 2.49, 0.00, 0.00, 0.00 μB/f.u., one per record in the order listed.
Result set for calculated formation energy: 0.234, 0.142, 2.587, 0.022, 0.532, 0.377 eV per atom, one per record in the order listed.